(1)
Density functional theory data (PBE) for a relaxed BaNa2Mg crystal.

Cell lengths 5.1600, 5.1600, 26.0262 Å; angles 90.00, 90.00, 90.00 degrees
Space group I-42d (No. 122)
Symmetry-distinct sites (fractional):
Ba (0.0000, 0.0000, 0.0000) [4 per cell]
Na (0.2020, 0.2500, 0.6250) [8 per cell]
Mg (0.0000, 0.0000, 0.5000) [4 per cell]

***

(2)
Density functional theory data (PBE) for a relaxed Ba6Na5Mg crystal.

Cell lengths 6.5201, 9.2937, 10.3184 Å; angles 90.00, 108.37, 90.00 degrees
Space group P2/m (No. 10)
Symmetry-distinct sites (fractional):
Ba (0.0000, 0.2332, 0.0000) [2 per cell]
Ba (0.3424, 0.2405, 0.6818) [4 per cell]
Na (0.1681, 0.5000, 0.3396) [2 per cell]
Na (0.1686, 0.0000, 0.3411) [2 per cell]
Na (0.5000, 0.5000, 0.0000) [1 per cell]
Mg (0.5000, 0.0000, 0.0000) [1 per cell]

***

(3)
Density functional theory data (PBE) for a relaxed Ba12Na6Mg crystal.

Cell lengths 13.9803, 13.9803, 18.0306 Å; angles 90.00, 90.00, 120.00 degrees
Space group R-3 (No. 148, hexagonal axes)
Symmetry-distinct sites (fractional):
Ba (0.0325, 0.1842, 0.3227) [18 per cell]
Ba (0.0551, 0.8466, 0.9066) [18 per cell]
Na (0.0425, 0.4417, 0.2039) [18 per cell]
Mg (0.0000, 0.0000, 0.5000) [3 per cell]

***

DFT total energy? In order: -1.37 -1.64 -1.66 eV/atom.
Magnetization? In order: 0.000 0.000 0.000 Bohr magnetons per cell.
ΔE_f? In order: 0.168 -0.001 0.056 eV/atom.